Entry from Alexandria: a relaxed structure of CrSiTc2 (PBE-GGA).

```
data_CrSiTc2
_chemical_formula_sum 'Cr1 Si1 Tc2'
_symmetry_space_group_name_H-M 'P m m 2'
_symmetry_Int_Tables_number 25
_symmetry_space_group_name_Hall 'P 2 -2'
_cell_length_a 2.7871
_cell_length_b 3.9242
_cell_length_c 4.9182
_cell_angle_alpha 90.00
_cell_angle_beta 90.00
_cell_angle_gamma 90.00
loop_
_atom_site_label
_atom_site_fract_x
_atom_site_fract_y
_atom_site_fract_z
Cr1 0.0000 0.0000 0.0000
Si1 0.5000 0.5000 0.2354
Tc1 0.0000 0.0000 0.4647
Tc2 0.5000 0.5000 0.7441
```

Calculated values
- Total energy: -36.37 eV for the cell shown
- Magnetization: 0.000 μB per atom
- DOS at the Fermi energy: 3.75 states/eV per cell
- Raw formation energy: -149 meV/atom